# 1
First-principles (PBE) data for Ac2MgBe2N4 after structural relaxation, as listed in Alexandria via LeMat-Bulk.

Output
formation energy (no corrections)	-77.8	kJ/mol of atoms
theoretical density	7.90	g/cm3
VASP energy	-6.42	eV/atom
SG	C2/m (12)
volume	116	Å³ per cell

Structure (CIF):
```
data_Ac2MgBe2N4
_chemical_formula_sum 'Ac2 Mg1 Be2 N4'
_symmetry_space_group_name_H-M 'P 1'
_symmetry_Int_Tables_number 1
_symmetry_space_group_name_Hall 'P 1'
_cell_length_a 3.272
_cell_length_b 5.858
_cell_length_c 6.554
_cell_angle_alpha 106.72
_cell_angle_beta 104.45
_cell_angle_gamma 90.00
loop_
_atom_site_label
_atom_site_type_symbol
_atom_site_fract_x
_atom_site_fract_y
_atom_site_fract_z
Ac1 Ac 0.133 0.574 0.266
Ac2 Ac 0.867 0.426 0.734
Mg1 Mg 0.000 0.000 0.000
Be1 Be 0.675 0.004 0.350
Be2 Be 0.325 0.996 0.650
N1 N 0.209 0.160 0.418
N2 N 0.791 0.840 0.582
N3 N 0.545 0.782 0.090
N4 N 0.455 0.218 0.910
```

# 2
First-principles (PBE) data for Ac4ZnAg2 after structural relaxation, as listed in Alexandria via LeMat-Bulk.

Output
theoretical density	8.17	g/cm3
formation energy from the elements	-12.8	kJ/mol of atoms
N(E_F)	7.99	states/eV/cell
VASP energy	-3.48	eV/atom
SG	R-3m (166)
volume	242	Å³ per cell

Structure (CIF):
```
data_Ac4ZnAg2
_chemical_formula_sum 'Ac4 Zn1 Ag2'
_symmetry_space_group_name_H-M 'P 1'
_symmetry_Int_Tables_number 1
_symmetry_space_group_name_Hall 'P 1'
_cell_length_a 5.555
_cell_length_b 5.555
_cell_length_c 9.598
_cell_angle_alpha 73.18
_cell_angle_beta 73.18
_cell_angle_gamma 60.00
loop_
_atom_site_label
_atom_site_type_symbol
_atom_site_fract_x
_atom_site_fract_y
_atom_site_fract_z
Ac1 Ac 0.876 0.876 0.372
Ac2 Ac 0.124 0.124 0.628
Ac3 Ac 0.626 0.626 0.122
Ac4 Ac 0.374 0.374 0.878
Zn1 Zn 0.000 0.000 0.000
Ag1 Ag 0.752 0.752 0.745
Ag2 Ag 0.248 0.248 0.255
```

# 3
First-principles (PBE) data for Cs2VPtS4 after structural relaxation, as listed in Alexandria via LeMat-Bulk.

Output
formation energy (no corrections)	-92.2	kJ/mol of atoms
theoretical density	4.35	g/cm3
N(E_F)	17.38	states/eV/cell
VASP energy	-5.13	eV/atom
SG	Fddd (70)
volume	489	Å³ per cell

Structure (CIF):
```
data_Cs2VPtS4
_chemical_formula_sum 'Cs4 V2 Pt2 S8'
_symmetry_space_group_name_H-M 'P 1'
_symmetry_Int_Tables_number 1
_symmetry_space_group_name_Hall 'P 1'
_cell_length_a 5.659
_cell_length_b 7.660
_cell_length_c 12.461
_cell_angle_alpha 85.19
_cell_angle_beta 76.88
_cell_angle_gamma 68.32
loop_
_atom_site_label
_atom_site_type_symbol
_atom_site_fract_x
_atom_site_fract_y
_atom_site_fract_z
Cs1 Cs 0.175 0.000 0.651
Cs2 Cs 0.825 0.000 0.349
Cs3 Cs 0.575 0.500 0.849
Cs4 Cs 0.925 0.500 0.151
V1 V 0.250 0.500 0.500
V2 V 0.500 0.000 0.000
Pt1 Pt 0.750 0.500 0.500
Pt2 Pt 0.000 0.000 0.000
S1 S 0.317 0.815 0.101
S2 S 0.234 0.185 0.899
S3 S 0.867 0.815 0.899
S4 S 0.582 0.185 0.101
S5 S 0.433 0.685 0.399
S6 S 0.516 0.315 0.601
S7 S 0.883 0.685 0.601
S8 S 0.168 0.315 0.399
```

# 4
First-principles (PBE) data for Mg2Ga3Pd4 after structural relaxation, as listed in Alexandria via LeMat-Bulk.

Output
theoretical density	7.88	g/cm3
formation energy from the elements	-62.2	kJ/mol of atoms
N(E_F)	3.36	states/eV/cell
VASP energy	-4.32	eV/atom
SG	C2/m (12)
energy above the most stable polymorph in this dataset	0.0	meV/atom
volume	144	Å³ per cell

Structure (CIF):
```
data_Mg2Ga3Pd4
_chemical_formula_sum 'Mg2 Ga3 Pd4'
_symmetry_space_group_name_H-M 'P 1'
_symmetry_Int_Tables_number 1
_symmetry_space_group_name_Hall 'P 1'
_cell_length_a 4.453
_cell_length_b 4.452
_cell_length_c 8.426
_cell_angle_alpha 81.60
_cell_angle_beta 81.55
_cell_angle_gamma 61.07
loop_
_atom_site_label
_atom_site_type_symbol
_atom_site_fract_x
_atom_site_fract_y
_atom_site_fract_z
Mg1 Mg 0.368 0.368 0.775
Mg2 Mg 0.632 0.632 0.225
Ga1 Ga 0.269 0.269 0.409
Ga2 Ga 0.000 0.000 0.000
Ga3 Ga 0.731 0.731 0.591
Pd1 Pd 0.684 0.684 0.899
Pd2 Pd 0.952 0.952 0.326
Pd3 Pd 0.048 0.048 0.674
Pd4 Pd 0.316 0.316 0.101
```

# 5
First-principles (PBE) data for Be2HgP after structural relaxation, as listed in Alexandria via LeMat-Bulk.

Output
theoretical density	7.26	g/cm3
formation energy from the elements	63.6	kJ/mol of atoms
N(E_F)	1.83	states/eV/cell
VASP energy	-2.63	eV/atom
SG	P4/mmm (123)
energy above the most stable polymorph in this dataset	537.1	meV/atom
volume	57	Å³ per cell

Structure (CIF):
```
data_Be2HgP
_chemical_formula_sum 'Be2 Hg1 P1'
_symmetry_space_group_name_H-M 'P 1'
_symmetry_Int_Tables_number 1
_symmetry_space_group_name_Hall 'P 1'
_cell_length_a 4.076
_cell_length_b 4.076
_cell_length_c 3.438
_cell_angle_alpha 90.00
_cell_angle_beta 90.00
_cell_angle_gamma 90.00
loop_
_atom_site_label
_atom_site_type_symbol
_atom_site_fract_x
_atom_site_fract_y
_atom_site_fract_z
P1 P 0.000 0.500 0.500
Hg1 Hg 0.500 0.000 0.500
Be1 Be 0.000 0.000 0.000
Be2 Be 0.500 0.500 0.000
```

# 6
First-principles (PBE) data for CaNiRh2 after structural relaxation, as listed in Alexandria via LeMat-Bulk.

Output
theoretical density	7.97	g/cm3
formation energy from the elements	6.0	kJ/mol of atoms
N(E_F)	5.67	states/eV/cell
VASP energy	-5.56	eV/atom
SG	I-4m2 (119)
energy above the most stable polymorph in this dataset	58.3	meV/atom
volume	63	Å³ per cell

Structure (CIF):
```
data_CaNiRh2
_chemical_formula_sum 'Ca1 Ni1 Rh2'
_symmetry_space_group_name_H-M 'P 1'
_symmetry_Int_Tables_number 1
_symmetry_space_group_name_Hall 'P 1'
_cell_length_a 4.855
_cell_length_b 4.855
_cell_length_c 4.855
_cell_angle_alpha 131.15
_cell_angle_beta 131.15
_cell_angle_gamma 71.57
loop_
_atom_site_label
_atom_site_type_symbol
_atom_site_fract_x
_atom_site_fract_y
_atom_site_fract_z
Ni1 Ni 0.750 0.250 0.500
Ca1 Ca 0.500 0.500 0.000
Rh1 Rh 0.000 0.000 0.000
Rh2 Rh 0.250 0.750 0.500
```

# 7
First-principles (PBE) data for Pr8IrPt2 after structural relaxation, as listed in Alexandria via LeMat-Bulk.

Output
theoretical density	8.27	g/cm3
formation energy from the elements	-43.9	kJ/mol of atoms
N(E_F)	12.48	states/eV/cell
VASP energy	-5.84	eV/atom
SG	Cm (8)
energy above the most stable polymorph in this dataset	69.4	meV/atom
volume	343	Å³ per cell

Structure (CIF):
```
data_Pr8IrPt2
_chemical_formula_sum 'Pr8 Ir1 Pt2'
_symmetry_space_group_name_H-M 'P 1'
_symmetry_Int_Tables_number 1
_symmetry_space_group_name_Hall 'P 1'
_cell_length_a 6.560
_cell_length_b 7.780
_cell_length_c 7.780
_cell_angle_alpha 111.81
_cell_angle_beta 101.83
_cell_angle_gamma 101.83
loop_
_atom_site_label
_atom_site_type_symbol
_atom_site_fract_x
_atom_site_fract_y
_atom_site_fract_z
Pr1 Pr 0.597 0.350 0.086
Pr2 Pr 0.597 0.086 0.350
Pr3 Pr 0.179 0.355 0.355
Pr4 Pr 0.979 0.193 0.803
Pr5 Pr 0.979 0.803 0.193
Pr6 Pr 0.795 0.650 0.650
Pr7 Pr 0.350 0.920 0.653
Pr8 Pr 0.350 0.653 0.920
Ir1 Ir 0.200 0.011 0.011
Pt1 Pt 0.488 0.689 0.324
Pt2 Pt 0.488 0.324 0.689
```

# 8
First-principles (PBE) data for Na2TiBiOs after structural relaxation, as listed in Alexandria via LeMat-Bulk.

Output
theoretical density	5.33	g/cm3
formation energy from the elements	178.2	kJ/mol of atoms
N(E_F)	9.10	states/eV/cell
VASP energy	-3.28	eV/atom
SG	P4/mmm (123)
volume	154	Å³ per cell

Structure (CIF):
```
data_Na2TiBiOs
_chemical_formula_sum 'Na2 Ti1 Bi1 Os1'
_symmetry_space_group_name_H-M 'P 1'
_symmetry_Int_Tables_number 1
_symmetry_space_group_name_Hall 'P 1'
_cell_length_a 5.426
_cell_length_b 5.218
_cell_length_c 5.426
_cell_angle_alpha 90.00
_cell_angle_beta 90.00
_cell_angle_gamma 90.00
loop_
_atom_site_label
_atom_site_type_symbol
_atom_site_fract_x
_atom_site_fract_y
_atom_site_fract_z
Na1 Na 0.000 0.000 0.500
Na2 Na 0.500 0.000 0.000
Os1 Os 0.500 0.500 0.500
Bi1 Bi 0.000 0.500 0.000
Ti1 Ti 0.000 0.000 0.000
```

# 9
First-principles (PBE) data for FeRuRh2 after structural relaxation, as listed in Alexandria via LeMat-Bulk.

Output
theoretical density	10.97	g/cm3
formation energy from the elements	7.8	kJ/mol of atoms
N(E_F)	5.08	states/eV/cell
VASP energy	-8.03	eV/atom
SG	Amm2 (38)
volume	55	Å³ per cell

Structure (CIF):
```
data_FeRuRh2
_chemical_formula_sum 'Fe1 Ru1 Rh2'
_symmetry_space_group_name_H-M 'P 1'
_symmetry_Int_Tables_number 1
_symmetry_space_group_name_Hall 'P 1'
_cell_length_a 4.099
_cell_length_b 2.690
_cell_length_c 5.158
_cell_angle_alpha 74.85
_cell_angle_beta 90.00
_cell_angle_gamma 90.00
loop_
_atom_site_label
_atom_site_type_symbol
_atom_site_fract_x
_atom_site_fract_y
_atom_site_fract_z
Fe1 Fe 0.500 0.557 0.762
Rh1 Rh 0.000 0.953 0.968
Rh2 Rh 0.500 0.298 0.279
Ru1 Ru 0.000 0.692 0.491
```

# 10
First-principles (PBE) data for PmNpPd14 after structural relaxation, as listed in Alexandria via LeMat-Bulk.

Output
theoretical density	11.65	g/cm3
formation energy from the elements	-29.7	kJ/mol of atoms
N(E_F)	25.78	states/eV/cell
VASP energy	-5.96	eV/atom
SG	P4/mmm (123)
volume	267	Å³ per cell

Structure (CIF):
```
data_PmNpPd14
_chemical_formula_sum 'Pm1 Np1 Pd14'
_symmetry_space_group_name_H-M 'P 1'
_symmetry_Int_Tables_number 1
_symmetry_space_group_name_Hall 'P 1'
_cell_length_a 5.839
_cell_length_b 5.839
_cell_length_c 7.827
_cell_angle_alpha 90.00
_cell_angle_beta 90.00
_cell_angle_gamma 90.00
loop_
_atom_site_label
_atom_site_type_symbol
_atom_site_fract_x
_atom_site_fract_y
_atom_site_fract_z
Pm1 Pm 0.875 0.875 0.500
Np1 Np 0.375 0.375 0.500
Pd1 Pd 0.875 0.875 0.000
Pd2 Pd 0.375 0.375 0.000
Pd3 Pd 0.875 0.375 0.500
Pd4 Pd 0.875 0.375 0.000
Pd5 Pd 0.375 0.875 0.500
Pd6 Pd 0.375 0.875 0.000
Pd7 Pd 0.620 0.130 0.243
Pd8 Pd 0.620 0.130 0.757
Pd9 Pd 0.130 0.620 0.243
Pd10 Pd 0.130 0.620 0.757
Pd11 Pd 0.620 0.620 0.243
Pd12 Pd 0.620 0.620 0.757
Pd13 Pd 0.130 0.130 0.243
Pd14 Pd 0.130 0.130 0.757
```

# 11
First-principles (PBE) data for Li2CdS2 after structural relaxation, as listed in Alexandria via LeMat-Bulk.

Output
formation energy (no corrections)	-73.0	kJ/mol of atoms
theoretical density	3.47	g/cm3
N(E_F)	0.04	states/eV/cell
VASP energy	-3.36	eV/atom
SG	P4/mbm (127)
energy above the most stable polymorph in this dataset	0.0	meV/atom
volume	182	Å³ per cell

Structure (CIF):
```
data_Li2CdS2
_chemical_formula_sum 'Li4 Cd2 S4'
_symmetry_space_group_name_H-M 'P 1'
_symmetry_Int_Tables_number 1
_symmetry_space_group_name_Hall 'P 1'
_cell_length_a 7.097
_cell_length_b 7.097
_cell_length_c 3.622
_cell_angle_alpha 90.00
_cell_angle_beta 90.00
_cell_angle_gamma 90.00
loop_
_atom_site_label
_atom_site_type_symbol
_atom_site_fract_x
_atom_site_fract_y
_atom_site_fract_z
S1 S 0.323 0.823 0.000
S2 S 0.823 0.677 0.000
S3 S 0.677 0.177 0.000
S4 S 0.177 0.323 0.000
Li1 Li 0.136 0.636 0.500
Li2 Li 0.636 0.864 0.500
Li3 Li 0.864 0.364 0.500
Li4 Li 0.364 0.136 0.500
Cd1 Cd 0.000 0.000 0.000
Cd2 Cd 0.500 0.500 0.000
```

# 12
First-principles (PBE) data for PuUCo after structural relaxation, as listed in Alexandria via LeMat-Bulk.

Output
theoretical density	16.43	g/cm3
formation energy from the elements	0.1	kJ/mol of atoms
N(E_F)	5.86	states/eV/cell
VASP energy	-10.91	eV/atom
SG	I4mm (107)
energy above the most stable polymorph in this dataset	0.0	meV/atom
volume	55	Å³ per cell

Structure (CIF):
```
data_PuUCo
_chemical_formula_sum 'Pu1 U1 Co1'
_symmetry_space_group_name_H-M 'P 1'
_symmetry_Int_Tables_number 1
_symmetry_space_group_name_Hall 'P 1'
_cell_length_a 3.387
_cell_length_b 3.387
_cell_length_c 5.334
_cell_angle_alpha 108.51
_cell_angle_beta 108.51
_cell_angle_gamma 90.00
loop_
_atom_site_label
_atom_site_type_symbol
_atom_site_fract_x
_atom_site_fract_y
_atom_site_fract_z
U1 U 0.019 0.019 0.038
Co1 Co 0.649 0.649 0.297
Pu1 Pu 0.333 0.333 0.665
```

Number 1: spin magnetization 0.0 Bohr magnetons per cell. Number 2: spin magnetization 0.0 Bohr magnetons per cell. Number 3: spin magnetization 0.0 Bohr magnetons per cell. Number 4: spin magnetization 0.0 Bohr magnetons per cell. Number 5: spin magnetization 0.0 Bohr magnetons per cell. Number 6: spin magnetization 0.4 Bohr magnetons per cell. Number 7: spin magnetization 0.0 Bohr magnetons per cell. Number 8: spin magnetization 2.6 Bohr magnetons per cell. Number 9: spin magnetization 2.7 Bohr magnetons per cell. Number 10: spin magnetization 2.5 Bohr magnetons per cell. Number 11: spin magnetization 0.0 Bohr magnetons per cell. Number 12: spin magnetization 6.3 Bohr magnetons per cell.